1.
# SmHo, optimized geometry, DFT PBE-GGA
data_SmHo
_chemical_formula_sum 'Sm1 Ho1'
_symmetry_space_group_name_H-M 'P 1'
_symmetry_Int_Tables_number 1
_symmetry_space_group_name_Hall 'P 1'
_cell_length_a 4.563
_cell_length_b 4.563
_cell_length_c 4.563
_cell_angle_alpha 60.00
_cell_angle_beta 60.00
_cell_angle_gamma 60.00
loop_
_atom_site_label
_atom_site_type_symbol
_atom_site_fract_x
_atom_site_fract_y
_atom_site_fract_z
Ho1 Ho 0.000 0.000 0.000
Sm1 Sm 0.500 0.500 0.500
# raw total energy: -7.83 eV for the cell shown
# energy above the lowest structure with this stoichiometry: 709 meV per atom

***

2.
# SmHoSn2, optimized geometry, DFT PBE-GGA
data_SmHoSn2
_chemical_formula_sum 'Sm1 Ho1 Sn2'
_symmetry_space_group_name_H-M 'P 1'
_symmetry_Int_Tables_number 1
_symmetry_space_group_name_Hall 'P 1'
_cell_length_a 3.343
_cell_length_b 6.914
_cell_length_c 6.914
_cell_angle_alpha 53.76
_cell_angle_beta 90.00
_cell_angle_gamma 90.00
loop_
_atom_site_label
_atom_site_type_symbol
_atom_site_fract_x
_atom_site_fract_y
_atom_site_fract_z
Sm1 Sm 0.000 0.361 0.361
Sn1 Sn 0.000 0.884 0.884
Sn2 Sn 0.000 0.113 0.113
Ho1 Ho 0.000 0.641 0.641
# raw total energy: -17.03 eV for the cell shown

***

3.
# SmHoZn2Sn2, optimized geometry, DFT PBE-GGA
data_SmHoZn2Sn2
_chemical_formula_sum 'Sm2 Ho2 Zn4 Sn4'
_symmetry_space_group_name_H-M 'P 1'
_symmetry_Int_Tables_number 1
_symmetry_space_group_name_Hall 'P 1'
_cell_length_a 4.517
_cell_length_b 4.517
_cell_length_c 15.987
_cell_angle_alpha 90.00
_cell_angle_beta 90.00
_cell_angle_gamma 120.00
loop_
_atom_site_label
_atom_site_type_symbol
_atom_site_fract_x
_atom_site_fract_y
_atom_site_fract_z
Zn1 Zn 0.667 0.333 0.839
Zn2 Zn 0.333 0.667 0.339
Zn3 Zn 0.667 0.333 0.661
Zn4 Zn 0.333 0.667 0.161
Sn1 Sn 0.333 0.667 0.617
Sn2 Sn 0.333 0.667 0.883
Sn3 Sn 0.667 0.333 0.383
Sn4 Sn 0.667 0.333 0.117
Sm1 Sm 0.000 0.000 0.500
Sm2 Sm 0.000 0.000 0.000
Ho1 Ho 0.000 0.000 0.250
Ho2 Ho 0.000 0.000 0.750
# raw total energy: -46.95 eV for the cell shown
# energy above the lowest structure with this stoichiometry: 0 meV per atom

***

4.
# SmHoZn2Sn2, optimized geometry, DFT PBE-GGA
data_SmHoZn2Sn2
_chemical_formula_sum 'Sm2 Ho2 Zn4 Sn4'
_symmetry_space_group_name_H-M 'P 1'
_symmetry_Int_Tables_number 1
_symmetry_space_group_name_Hall 'P 1'
_cell_length_a 4.532
_cell_length_b 4.532
_cell_length_c 15.894
_cell_angle_alpha 90.00
_cell_angle_beta 90.00
_cell_angle_gamma 120.00
loop_
_atom_site_label
_atom_site_type_symbol
_atom_site_fract_x
_atom_site_fract_y
_atom_site_fract_z
Zn1 Zn 0.333 0.667 0.343
Zn2 Zn 0.667 0.333 0.843
Zn3 Zn 0.667 0.333 0.657
Zn4 Zn 0.333 0.667 0.157
Sn1 Sn 0.333 0.667 0.889
Sn2 Sn 0.667 0.333 0.111
Sn3 Sn 0.667 0.333 0.389
Sn4 Sn 0.333 0.667 0.611
Sm1 Sm 0.000 0.000 0.750
Sm2 Sm 0.000 0.000 0.250
Ho1 Ho 0.000 0.000 0.500
Ho2 Ho 0.000 0.000 0.000
# raw total energy: -46.78 eV for the cell shown
# energy above the lowest structure with this stoichiometry: 14 meV per atom

***

5.
# SrSmHo, optimized geometry, DFT PBE-GGA
data_SrSmHo
_chemical_formula_sum 'Sr1 Sm1 Ho1'
_symmetry_space_group_name_H-M 'P 1'
_symmetry_Int_Tables_number 1
_symmetry_space_group_name_Hall 'P 1'
_cell_length_a 5.752
_cell_length_b 5.752
_cell_length_c 5.752
_cell_angle_alpha 60.00
_cell_angle_beta 60.00
_cell_angle_gamma 60.00
loop_
_atom_site_label
_atom_site_type_symbol
_atom_site_fract_x
_atom_site_fract_y
_atom_site_fract_z
Ho1 Ho 0.000 0.000 0.000
Sr1 Sr 0.750 0.750 0.750
Sm1 Sm 0.250 0.250 0.250
# raw total energy: -8.59 eV for the cell shown
# energy above the lowest structure with this stoichiometry: 0 meV per atom

***

6.
# Tb2Sm3Ho, optimized geometry, DFT PBE-GGA
data_Tb2Sm3Ho
_chemical_formula_sum 'Tb4 Sm6 Ho2'
_symmetry_space_group_name_H-M 'P 1'
_symmetry_Int_Tables_number 1
_symmetry_space_group_name_Hall 'P 1'
_cell_length_a 6.222
_cell_length_b 6.222
_cell_length_c 11.570
_cell_angle_alpha 90.00
_cell_angle_beta 90.00
_cell_angle_gamma 59.98
loop_
_atom_site_label
_atom_site_type_symbol
_atom_site_fract_x
_atom_site_fract_y
_atom_site_fract_z
Sm1 Sm 0.666 0.666 0.530
Sm2 Sm 0.666 0.666 0.030
Sm3 Sm 0.000 0.000 0.530
Sm4 Sm 0.334 0.334 0.530
Sm5 Sm 0.334 0.334 0.030
Sm6 Sm 0.000 0.000 0.030
Tb1 Tb 0.333 0.001 0.280
Tb2 Tb 0.667 0.999 0.780
Tb3 Tb 0.999 0.667 0.280
Tb4 Tb 0.001 0.333 0.780
Ho1 Ho 0.666 0.334 0.280
Ho2 Ho 0.334 0.666 0.780
# raw total energy: -56.00 eV for the cell shown

***

7.
# SmHoTc, optimized geometry, DFT PBE-GGA
data_SmHoTc
_chemical_formula_sum 'Sm1 Ho1 Tc1'
_symmetry_space_group_name_H-M 'P 1'
_symmetry_Int_Tables_number 1
_symmetry_space_group_name_Hall 'P 1'
_cell_length_a 4.790
_cell_length_b 4.790
_cell_length_c 4.790
_cell_angle_alpha 60.00
_cell_angle_beta 60.00
_cell_angle_gamma 60.00
loop_
_atom_site_label
_atom_site_type_symbol
_atom_site_fract_x
_atom_site_fract_y
_atom_site_fract_z
Tc1 Tc 0.750 0.750 0.750
Sm1 Sm 0.000 0.000 0.000
Ho1 Ho 0.250 0.250 0.250
# raw total energy: -16.71 eV for the cell shown

***

8.
# SmHo3Tc, optimized geometry, DFT PBE-GGA
data_SmHo3Tc
_chemical_formula_sum 'Sm2 Ho6 Tc2'
_symmetry_space_group_name_H-M 'P 1'
_symmetry_Int_Tables_number 1
_symmetry_space_group_name_Hall 'P 1'
_cell_length_a 8.623
_cell_length_b 3.772
_cell_length_c 8.692
_cell_angle_alpha 90.00
_cell_angle_beta 101.96
_cell_angle_gamma 90.00
loop_
_atom_site_label
_atom_site_type_symbol
_atom_site_fract_x
_atom_site_fract_y
_atom_site_fract_z
Sm1 Sm 0.331 0.250 0.488
Sm2 Sm 0.669 0.750 0.512
Ho1 Ho 0.158 0.750 0.112
Ho2 Ho 0.842 0.250 0.888
Ho3 Ho 0.077 0.750 0.682
Ho4 Ho 0.526 0.250 0.164
Ho5 Ho 0.474 0.750 0.836
Ho6 Ho 0.923 0.250 0.318
Tc1 Tc 0.237 0.250 0.901
Tc2 Tc 0.763 0.750 0.099
# raw total energy: -58.28 eV for the cell shown

***

9.
# SmHoTe, optimized geometry, DFT PBE-GGA
data_SmHoTe
_chemical_formula_sum 'Sm1 Ho1 Te1'
_symmetry_space_group_name_H-M 'P 1'
_symmetry_Int_Tables_number 1
_symmetry_space_group_name_Hall 'P 1'
_cell_length_a 5.094
_cell_length_b 5.094
_cell_length_c 5.094
_cell_angle_alpha 60.00
_cell_angle_beta 60.00
_cell_angle_gamma 60.00
loop_
_atom_site_label
_atom_site_type_symbol
_atom_site_fract_x
_atom_site_fract_y
_atom_site_fract_z
Te1 Te 0.000 0.000 0.000
Sm1 Sm 0.750 0.750 0.750
Ho1 Ho 0.250 0.250 0.250
# raw total energy: -14.02 eV for the cell shown
# energy above the lowest structure with this stoichiometry: 0 meV per atom

***

10.
# SmHoTlTe3, optimized geometry, DFT PBE-GGA
data_SmHoTlTe3
_chemical_formula_sum 'Sm2 Ho2 Tl2 Te6'
_symmetry_space_group_name_H-M 'P 1'
_symmetry_Int_Tables_number 1
_symmetry_space_group_name_Hall 'P 1'
_cell_length_a 7.961
_cell_length_b 7.961
_cell_length_c 12.117
_cell_angle_alpha 90.00
_cell_angle_beta 90.00
_cell_angle_gamma 147.76
loop_
_atom_site_label
_atom_site_type_symbol
_atom_site_fract_x
_atom_site_fract_y
_atom_site_fract_z
Te1 Te 0.357 0.643 0.480
Te2 Te 0.643 0.357 0.520
Te3 Te 0.937 0.063 0.750
Te4 Te 0.357 0.643 0.020
Te5 Te 0.063 0.937 0.250
Te6 Te 0.643 0.357 0.980
Tl1 Tl 0.741 0.259 0.250
Tl2 Tl 0.259 0.741 0.750
Ho1 Ho 0.000 0.000 0.500
Ho2 Ho 0.000 0.000 0.000
Sm1 Sm 0.573 0.427 0.750
Sm2 Sm 0.427 0.573 0.250
# raw total energy: -53.64 eV for the cell shown
# energy above the lowest structure with this stoichiometry: 23 meV per atom

***

11.
# SmHoTlTe3, optimized geometry, DFT PBE-GGA
data_SmHoTlTe3
_chemical_formula_sum 'Sm2 Ho2 Tl2 Te6'
_symmetry_space_group_name_H-M 'P 1'
_symmetry_Int_Tables_number 1
_symmetry_space_group_name_Hall 'P 1'
_cell_length_a 7.997
_cell_length_b 7.997
_cell_length_c 12.146
_cell_angle_alpha 90.00
_cell_angle_beta 90.00
_cell_angle_gamma 147.32
loop_
_atom_site_label
_atom_site_type_symbol
_atom_site_fract_x
_atom_site_fract_y
_atom_site_fract_z
Te1 Te 0.066 0.934 0.750
Te2 Te 0.356 0.644 0.966
Te3 Te 0.644 0.356 0.466
Te4 Te 0.356 0.644 0.534
Te5 Te 0.644 0.356 0.034
Te6 Te 0.934 0.066 0.250
Sm1 Sm 0.000 0.000 0.500
Sm2 Sm 0.000 0.000 0.000
Tl1 Tl 0.747 0.253 0.750
Tl2 Tl 0.253 0.747 0.250
Ho1 Ho 0.561 0.439 0.250
Ho2 Ho 0.439 0.561 0.750
# raw total energy: -53.91 eV for the cell shown
# energy above the lowest structure with this stoichiometry: 0 meV per atom

***

12.
# SmHoTh, optimized geometry, DFT PBE-GGA
data_SmHoTh
_chemical_formula_sum 'Sm1 Ho1 Th1'
_symmetry_space_group_name_H-M 'P 1'
_symmetry_Int_Tables_number 1
_symmetry_space_group_name_Hall 'P 1'
_cell_length_a 5.424
_cell_length_b 5.424
_cell_length_c 5.424
_cell_angle_alpha 60.00
_cell_angle_beta 60.00
_cell_angle_gamma 60.00
loop_
_atom_site_label
_atom_site_type_symbol
_atom_site_fract_x
_atom_site_fract_y
_atom_site_fract_z
Th1 Th 0.250 0.250 0.250
Ho1 Ho 0.000 0.000 0.000
Sm1 Sm 0.750 0.750 0.750
# raw total energy: -14.34 eV for the cell shown
# energy above the lowest structure with this stoichiometry: 0 meV per atom